*w*
A crystal of CoAg2Ir relaxed with PBEsol. Source: Alexandria, functional meta-GGA SCAN.

Magnetic moment, μB/f.u.: 2.464

a b c (Å): 2.761 4.482 4.693
angles (deg): 90.00 90.00 90.00
Positions (direct):
Co 0.000 0.000 0.000
Ag 0.000 0.500 0.500
Ag 0.500 0.000 0.500
Ir 0.500 0.500 0.000

*x*
A crystal of CoAg2Ir relaxed with PBEsol. Source: Alexandria, functional meta-GGA SCAN.

Magnetic moment, μB/f.u.: 2.737

a b c (Å): 4.355 4.355 4.355
angles (deg): 60.00 60.00 60.00
Positions (direct):
Co 0.000 0.000 0.000
Ag 0.250 0.250 0.250
Ag 0.750 0.750 0.750
Ir 0.500 0.500 0.500

*y*
A crystal of CoAg2Ir relaxed with PBEsol. Source: Alexandria, functional meta-GGA SCAN.

Magnetic moment, μB/f.u.: 2.186

a b c (Å): 5.329 5.329 5.329
angles (deg): 150.19 128.26 60.86
Positions (direct):
Co 0.000 0.000 0.000
Ag 0.482 0.482 0.000
Ag 0.751 0.251 0.500
Ir 0.215 0.715 0.500

Relative stability in kJ/mol of atoms, measured from the most stable structure: *w* 0.0; *x* 30.4; *y* 3.6

*w*
A crystal of CoAg2Ir relaxed with PBEsol. Source: Alexandria, functional meta-GGA SCAN.

Magnetic moment, μB/f.u.: 2.905

a b c (Å): 4.654 4.654 4.654
angles (deg): 130.00 130.00 73.40
Positions (direct):
Co 0.000 0.000 0.000
Ag 0.250 0.750 0.500
Ag 0.500 0.500 0.000
Ir 0.750 0.250 0.500

*x*
A crystal of CoAg2Ir relaxed with PBEsol. Source: Alexandria, functional meta-GGA SCAN.

Magnetic moment, μB/f.u.: 2.623

a b c (Å): 5.414 5.414 2.660
angles (deg): 103.24 103.24 121.85
Positions (direct):
Co 0.000 0.000 0.000
Ag 0.000 0.500 0.500
Ag 0.500 0.000 0.500
Ir 0.500 0.500 0.000

Relative stability in kJ/mol of atoms, measured from the most stable structure: *w* 2.9; *x* 0.0

*w*
A crystal of KCoAg2 relaxed with PBEsol. Source: Alexandria, functional meta-GGA SCAN.

Magnetic moment, μB/f.u.: 1.930

a b c (Å): 5.191 5.191 2.748
angles (deg): 90.00 90.00 90.00
Positions (direct):
K 0.000 0.000 0.000
Co 0.500 0.500 0.000
Ag 0.000 0.500 0.500
Ag 0.500 0.000 0.500

*x*
A crystal of KCoAg2 relaxed with PBEsol. Source: Alexandria, functional meta-GGA SCAN.

Magnetic moment, μB/f.u.: 1.805

a b c (Å): 3.053 3.158 8.103
angles (deg): 90.00 90.00 90.00
Positions (direct):
K 0.000 0.000 0.000
Co 0.000 0.000 0.500
Ag 0.500 0.500 0.322
Ag 0.500 0.500 0.678

Relative stability in kJ/mol of atoms, measured from the most stable structure: *w* 24.8; *x* 0.0

*w*
A crystal of KCo2Ag relaxed with PBEsol. Source: Alexandria, functional meta-GGA SCAN.

Magnetic moment, μB/f.u.: 3.819

a b c (Å): 5.293 5.293 5.293
angles (deg): 137.15 137.15 62.20
Positions (direct):
K 0.000 0.000 0.000
Co 0.250 0.750 0.500
Co 0.750 0.250 0.500
Ag 0.500 0.500 0.000

*x*
A crystal of KCo2Ag relaxed with PBEsol. Source: Alexandria, functional meta-GGA SCAN.

Magnetic moment, μB/f.u.: 3.722

a b c (Å): 5.925 5.925 5.925
angles (deg): 154.22 130.41 56.72
Positions (direct):
K 0.000 0.000 0.000
Co 0.277 0.777 0.500
Co 0.723 0.223 0.500
Ag 0.500 0.500 0.000

Relative stability in kJ/mol of atoms, measured from the most stable structure: *w* 19.4; *x* 0.0

*w*
A crystal of Co2NiAg relaxed with PBEsol. Source: Alexandria, functional meta-GGA SCAN.

Magnetic moment, μB/f.u.: 4.548

a b c (Å): 4.091 4.091 4.091
angles (deg): 60.00 60.00 60.00
Positions (direct):
Co 0.250 0.250 0.250
Co 0.750 0.750 0.750
Ni 0.000 0.000 0.000
Ag 0.500 0.500 0.500

*x*
A crystal of Co2NiAg relaxed with PBEsol. Source: Alexandria, functional meta-GGA SCAN.

Magnetic moment, μB/f.u.: 4.530

a b c (Å): 4.264 4.264 2.674
angles (deg): 90.00 90.00 90.00
Positions (direct):
Co 0.000 0.500 0.000
Co 0.500 0.000 0.000
Ni 0.000 0.000 0.500
Ag 0.500 0.500 0.500

Relative stability in kJ/mol of atoms, measured from the most stable structure: *w* 0.0; *x* 6.1

*w*
A crystal of Co2NiAg relaxed with PBEsol. Source: Alexandria, functional meta-GGA SCAN.

Magnetic moment, μB/f.u.: 4.357

a b c (Å): 4.448 4.448 4.454
angles (deg): 100.39 100.39 33.68
Positions (direct):
Co 0.242 0.242 0.224
Co 0.758 0.758 0.776
Ni 0.500 0.500 0.000
Ag 0.000 0.000 0.500

*x*
A crystal of Co2NiAg relaxed with PBEsol. Source: Alexandria, functional meta-GGA SCAN.

Magnetic moment, μB/f.u.: 4.411

a b c (Å): 4.405 4.405 4.405
angles (deg): 130.92 130.92 71.95
Positions (direct):
Co 0.000 0.000 0.000
Co 0.750 0.250 0.500
Ni 0.500 0.500 0.000
Ag 0.250 0.750 0.500

Relative stability in kJ/mol of atoms, measured from the most stable structure: *w* 1.0; *x* 0.0

*w*
A crystal of Co2NiAg relaxed with PBEsol. Source: Alexandria, functional meta-GGA SCAN.

Magnetic moment, μB/f.u.: 4.229

a b c (Å): 2.593 2.593 7.112
angles (deg): 90.00 90.00 90.00
Positions (direct):
Co 0.000 0.000 0.000
Co 0.500 0.500 0.214
Ni 0.000 0.000 0.439
Ag 0.500 0.500 0.717

*x*
A crystal of Co2NiAg relaxed with PBEsol. Source: Alexandria, functional meta-GGA SCAN.

Magnetic moment, μB/f.u.: 4.391

a b c (Å): 4.503 4.503 2.552
angles (deg): 90.00 90.00 111.71
Positions (direct):
Co 0.000 0.500 0.000
Co 0.500 0.000 0.000
Ni 0.000 0.000 0.500
Ag 0.500 0.500 0.500

Relative stability in kJ/mol of atoms, measured from the most stable structure: *w* 0.0; *x* 12.2